# 1
Here is a geometry-optimized Mg6GePd5 structure from Alexandria. Energies are from PBE-GGA.

Summary:
DFT formation energy in kJ per mole of atoms: -61.75

Geometry as extended XYZ:
```
12
Lattice="-0.3512 -3.5380 -2.6680 2.9291 -3.7669 4.6096 -5.8251 0.3173 3.9607" Properties=species:S:1:pos:R:3 pbc="T T T"
Pd 1.4645 -1.8835 2.3048
Pd -2.5420 -2.8538 4.0577
Pd -4.0073 -0.9713 1.7527
Pd 0.7600 -6.0164 4.1496
Pd -0.7053 -4.1339 1.8446
Mg -1.2900 -1.4474 2.0586
Mg -3.8338 -4.2384 6.0367
Mg -3.4006 -3.6839 1.5721
Mg 0.5866 -2.7493 -0.1344
Mg -1.9573 -5.5402 3.8437
Mg 0.1534 -3.3037 4.3302
Ge 0.0000 0.0000 0.0000
```


# 2
Here is a geometry-optimized Ac6GaPt2Br3 structure from Alexandria. Energies are from PBE-GGA.

Summary:
Formation energy without anion corrections in eV per atom: -1.174

Geometry as extended XYZ:
```
12
Lattice="-0.7734 -4.1572 1.4590 5.6286 -3.4880 -6.9548 6.4588 3.8444 7.5204" Properties=species:S:1:pos:R:3 pbc="T T T"
Br 2.4276 -3.8226 -2.7479
Br 4.7488 -1.4547 5.2293
Br 6.5653 -2.3461 -3.2047
Ga -0.3867 -2.0786 0.7295
Ac 4.9288 -3.3885 -0.1852
Ac 9.1351 -1.8785 -0.5102
Ac 2.1790 -1.9223 2.5348
Ac 1.5514 -0.7859 -1.4169
Ac 9.7627 -3.0149 3.4416
Ac 6.3853 -0.4123 2.2098
Pt 3.9483 -0.5796 0.4414
Pt 7.3657 -3.2212 1.5832
```


It is found that the raw total energy values, taken in the order of the records, are -3.986 -4.905 eV per atom.